12
Lattice="5.9893 0.0000 0.0000 -2.9947 5.1869 0.0000 0.0000 0.0000 6.9542" Properties=species:S:1:pos:R:3 comment="ThTlV2O8 | Alexandria | GGA+U | relaxed" magmom_total_mub_per_fu=0.00 e_tot_ev_per_atom=-7.44 pbc="T T T"
Th 0.0000 0.0000 0.0000
Tl 0.0000 0.0000 3.4771
V 0.0000 3.4579 4.8808
V 2.9947 1.7290 2.0733
O 0.0000 1.7650 5.4610
O -1.4661 4.3044 5.4610
O 0.0000 3.4579 3.2411
O 1.5285 0.8825 1.4931
O 1.4661 4.3044 5.4610
O 2.9947 1.7290 3.7131
O 4.4608 0.8825 1.4931
O 2.9947 3.4219 1.4931